The following is a PBE calculation of a relaxed RbSbN2F crystal, from Alexandria.

Output
Energy relative to the elements, uncorrected ... 1709 meV per atom
Total moment ... 1.00 Bohr magnetons per cell

a b c (Å): 4.602 4.602 4.660
angles (deg): 90.00 90.00 90.00
Fractional coordinates of all 5 atoms:
Rb: 0.000 0.000 0.000
Sb: 0.500 0.500 0.500
N: 0.000 0.500 0.000
N: 0.500 0.000 0.000
F: 0.000 0.000 0.500